1.
The following is a DFT calculation (PBE-GGA) of a relaxed DySi2O5 crystal.

Results
DOS(E_F): 1.3 states/eV per cell
Formation energy without anion corrections: -2560 meV per atom
Energy: -7.590 eV per atom
Spin magnetization: 0.00 Bohr magnetons per cell
Crystal system: orthorhombic

Unit cell a=3.398 b=11.287 c=4.956 alpha=90.00 beta=90.00 gamma=90.00
Space group Pmmn (No. 59, origin choice 2)
Symmetry-distinct sites (fractional):
Dy  0.250  0.250  0.069 (multiplicity 2)
Si  0.250  0.603  0.444 (multiplicity 4)
O  0.250  0.077  0.438 (multiplicity 4)
O  0.250  0.633  0.123 (multiplicity 4)
O  0.250  0.750  0.594 (multiplicity 2)

2.
The following is a DFT calculation (PBE-GGA) of a relaxed Dy4Si2O crystal.

Results
DOS(E_F): 14.4 states/eV per cell
Formation energy without anion corrections: -1233 meV per atom
Energy: -6.121 eV per atom
Spin magnetization: 0.00 Bohr magnetons per cell
Crystal system: tetragonal

Unit cell a=4.475 b=4.475 c=15.591 alpha=90.00 beta=90.00 gamma=90.00
Space group I4/mmm (No. 139)
Symmetry-distinct sites (fractional):
Dy  0.000  0.000  0.177 (multiplicity 4)
Dy  0.000  0.500  0.000 (multiplicity 4)
Si  0.000  0.000  0.364 (multiplicity 4)
O  0.000  0.000  0.000 (multiplicity 2)

3.
The following is a DFT calculation (PBE-GGA) of a relaxed Dy2SiO5 crystal.

Results
DOS(E_F): 0.0 states/eV per cell
Formation energy without anion corrections: -3301 meV per atom
Energy: -8.229 eV per atom
Spin magnetization: 0.00 Bohr magnetons per cell
Crystal system: orthorhombic

Unit cell a=10.194 b=3.680 c=10.805 alpha=90.00 beta=90.00 gamma=90.00
Space group Pnma (No. 62)
Symmetry-distinct sites (fractional):
Dy  0.100  0.250  0.216 (multiplicity 4)
Dy  0.140  0.250  0.552 (multiplicity 4)
Si  0.183  0.250  0.872 (multiplicity 4)
O  0.010  0.750  0.605 (multiplicity 4)
O  0.025  0.250  0.843 (multiplicity 4)
O  0.222  0.250  0.025 (multiplicity 4)
O  0.226  0.750  0.874 (multiplicity 4)
O  0.234  0.750  0.234 (multiplicity 4)

4.
The following is a DFT calculation (PBE-GGA) of a relaxed Dy4Si2O crystal.

Results
DOS(E_F): 7.4 states/eV per cell
Formation energy without anion corrections: -1255 meV per atom
Energy: -6.143 eV per atom
Spin magnetization: 0.00 Bohr magnetons per cell
Crystal system: monoclinic

Unit cell a=6.459 b=6.528 c=8.185 alpha=90.00 beta=108.33 gamma=90.00
Space group P2_1/m (No. 11)
Symmetry-distinct sites (fractional):
Dy  0.004  0.001  0.262 (multiplicity 4)
Dy  0.410  0.750  0.087 (multiplicity 2)
Dy  0.437  0.750  0.627 (multiplicity 2)
Si  0.214  0.250  0.047 (multiplicity 2)
Si  0.251  0.250  0.567 (multiplicity 2)
O  0.235  0.750  0.806 (multiplicity 2)

5.
The following is a DFT calculation (PBE-GGA) of a relaxed DyThSi2O8 crystal.

Results
DOS(E_F): 17.4 states/eV per cell
Formation energy without anion corrections: -3086 meV per atom
Energy: -8.297 eV per atom
Spin magnetization: 0.76 Bohr magnetons per cell
Crystal system: tetragonal

Unit cell a=7.090 b=7.090 c=6.328 alpha=90.00 beta=90.00 gamma=90.00
Space group I-4m2 (No. 119)
Symmetry-distinct sites (fractional):
Dy  0.000  0.000  0.000 (multiplicity 2)
Th  0.000  0.500  0.250 (multiplicity 2)
Si  0.000  0.000  0.500 (multiplicity 2)
Si  0.000  0.500  0.750 (multiplicity 2)
O  0.000  0.176  0.331 (multiplicity 8)
O  0.000  0.320  0.915 (multiplicity 8)

6.
The following is a DFT calculation (PBE-GGA) of a relaxed SmDyO crystal.

Results
DOS(E_F): 1.6 states/eV per cell
Formation energy without anion corrections: -1780 meV per atom
Energy: -6.540 eV per atom
Spin magnetization: 0.00 Bohr magnetons per cell
Crystal system: trigonal

Unit cell a=3.8032 b=3.8032 c=6.1377 alpha=90.00 beta=90.00 gamma=120.00
Space group P3m1 (No. 156)
Symmetry-distinct sites (fractional):
Sm  0.0000  0.0000  0.0000 (multiplicity 1)
Dy  0.3333  0.6667  0.4793 (multiplicity 1)
O  0.3333  0.6667  0.1129 (multiplicity 1)

7.
The following is a DFT calculation (PBE-GGA) of a relaxed SmDyO3 crystal.

Results
DOS(E_F): 0.0 states/eV per cell
Formation energy without anion corrections: -3305 meV per atom
Energy: -8.144 eV per atom
Spin magnetization: 0.00 Bohr magnetons per cell
Crystal system: hexagonal

Unit cell a=6.0553 b=6.0553 c=3.1032 alpha=90.00 beta=90.00 gamma=120.00
Space group P-6m2 (No. 187)
Symmetry-distinct sites (fractional):
Sm  0.0000  0.0000  0.0000 (multiplicity 1)
Dy  0.3333  0.6667  0.0000 (multiplicity 1)
O  0.1699  0.3399  0.5000 (multiplicity 3)

8.
The following is a DFT calculation (PBE-GGA) of a relaxed Sm2DyO4 crystal.

Results
DOS(E_F): 4.6 states/eV per cell
Formation energy without anion corrections: -3138 meV per atom
Energy: -7.977 eV per atom
Spin magnetization: 0.00 Bohr magnetons per cell
Crystal system: monoclinic

Unit cell a=11.892 b=3.508 c=6.034 alpha=90.00 beta=117.64 gamma=90.00
Space group C2/m (No. 12)
Symmetry-distinct sites (fractional):
Sm  0.196  0.000  0.197 (multiplicity 4)
Dy  0.000  0.500  0.500 (multiplicity 2)
O  0.130  0.500  0.919 (multiplicity 4)
O  0.142  0.000  0.522 (multiplicity 4)

9.
The following is a DFT calculation (PBE-GGA) of a relaxed SmDy2O4 crystal.

Results
DOS(E_F): 4.0 states/eV per cell
Formation energy without anion corrections: -3195 meV per atom
Energy: -8.017 eV per atom
Spin magnetization: 0.00 Bohr magnetons per cell
Crystal system: monoclinic

Unit cell a=12.437 b=3.434 c=5.885 alpha=90.00 beta=117.20 gamma=90.00
Space group C2/m (No. 12)
Symmetry-distinct sites (fractional):
Sm  0.000  0.000  0.000 (multiplicity 2)
Dy  0.209  0.500  0.708 (multiplicity 4)
O  0.140  0.000  0.436 (multiplicity 4)
O  0.152  0.500  0.020 (multiplicity 4)

10.
The following is a DFT calculation (PBE-GGA) of a relaxed SmDyO4 crystal.

Results
DOS(E_F): 0.0 states/eV per cell
Formation energy without anion corrections: -2933 meV per atom
Energy: -7.792 eV per atom
Spin magnetization: 0.00 Bohr magnetons per cell
Crystal system: monoclinic

Unit cell a=6.659 b=3.900 c=6.351 alpha=90.00 beta=97.59 gamma=90.00
Space group Cm (No. 8)
Symmetry-distinct sites (fractional):
Sm  0.000  0.000  0.000 (multiplicity 2)
Dy  0.112  0.500  0.541 (multiplicity 2)
O  0.154  0.500  0.906 (multiplicity 2)
O  0.219  0.000  0.344 (multiplicity 2)
O  0.389  0.000  0.209 (multiplicity 2)
O  0.454  0.500  0.620 (multiplicity 2)

11.
The following is a DFT calculation (PBE-GGA) of a relaxed Sm3Dy5O12 crystal.

Results
DOS(E_F): 0.0 states/eV per cell
Formation energy without anion corrections: -3342 meV per atom
Energy: -8.175 eV per atom
Spin magnetization: 0.00 Bohr magnetons per cell
Crystal system: cubic

Unit cell a=13.585 b=13.585 c=13.585 alpha=90.00 beta=90.00 gamma=90.00
Space group Ia-3d (No. 230)
Symmetry-distinct sites (fractional):
Sm  0.000  0.250  0.125 (multiplicity 24)
Dy  0.000  0.000  0.000 (multiplicity 16)
Dy  0.000  0.250  0.375 (multiplicity 24)
O  0.022  0.066  0.653 (multiplicity 96)

12.
The following is a DFT calculation (PBE-GGA) of a relaxed SmDyO3 crystal.

Results
DOS(E_F): 0.0 states/eV per cell
Formation energy without anion corrections: -3335 meV per atom
Energy: -8.174 eV per atom
Spin magnetization: 0.00 Bohr magnetons per cell
Crystal system: trigonal

Unit cell a=5.7079 b=5.7079 c=16.6076 alpha=90.00 beta=90.00 gamma=120.00
Space group R32 (No. 155, hexagonal axes)
Symmetry-distinct sites (fractional):
Sm  0.0000  0.0000  0.1438 (multiplicity 6)
Dy  0.0000  0.0000  0.3518 (multiplicity 6)
O  0.0108  0.2976  0.2509 (multiplicity 18)

13.
The following is a DFT calculation (PBE-GGA) of a relaxed SmDyO3 crystal.

Results
DOS(E_F): 0.0 states/eV per cell
Formation energy without anion corrections: -3444 meV per atom
Energy: -8.283 eV per atom
Spin magnetization: 0.00 Bohr magnetons per cell
Crystal system: orthorhombic

Unit cell a=6.026 b=8.550 c=5.773 alpha=90.00 beta=90.00 gamma=90.00
Space group Pnma (No. 62)
Symmetry-distinct sites (fractional):
Sm  0.053  0.250  0.021 (multiplicity 4)
Dy  0.000  0.000  0.500 (multiplicity 4)
O  0.074  0.750  0.354 (multiplicity 4)
O  0.193  0.578  0.810 (multiplicity 8)

14.
The following is a DFT calculation (PBE-GGA) of a relaxed SmDy3O crystal.

Results
DOS(E_F): 6.0 states/eV per cell
Formation energy without anion corrections: -1085 meV per atom
Energy: -5.781 eV per atom
Spin magnetization: 0.00 Bohr magnetons per cell
Crystal system: cubic

Unit cell a=4.957 b=4.957 c=4.957 alpha=90.00 beta=90.00 gamma=90.00
Space group Pm-3m (No. 221)
Symmetry-distinct sites (fractional):
Sm  0.000  0.000  0.000 (multiplicity 1)
Dy  0.000  0.500  0.500 (multiplicity 3)
O  0.500  0.500  0.500 (multiplicity 1)

15.
The following is a DFT calculation (PBE-GGA) of a relaxed SmDy3O6 crystal.

Results
DOS(E_F): 0.0 states/eV per cell
Formation energy without anion corrections: -3503 meV per atom
Energy: -8.330 eV per atom
Spin magnetization: 0.00 Bohr magnetons per cell
Crystal system: trigonal

Unit cell a=9.7110 b=9.7110 c=11.4879 alpha=90.00 beta=90.00 gamma=120.00
Space group R-3 (No. 148, hexagonal axes)
Symmetry-distinct sites (fractional):
Sm  0.0000  0.0000  0.0000 (multiplicity 3)
Sm  0.0000  0.0000  0.5000 (multiplicity 3)
Dy  0.0376  0.7729  0.2110 (multiplicity 18)
O  0.0249  0.8024  0.4023 (multiplicity 18)
O  0.0283  0.8397  0.8656 (multiplicity 18)

16.
The following is a DFT calculation (PBE-GGA) of a relaxed SmDy2TcO8 crystal.

Results
Formation energy without anion corrections: -2613 meV per atom
Energy: -7.942 eV per atom
Spin magnetization: 0.00 Bohr magnetons per cell
Crystal system: monoclinic

Unit cell a=5.068 b=6.808 c=5.070 alpha=90.00 beta=90.08 gamma=90.00
Space group P2/m (No. 10)
Symmetry-distinct sites (fractional):
Sm  0.000  0.000  0.000 (multiplicity 1)
Dy  0.500  0.249  0.500 (multiplicity 2)
Tc  0.000  0.500  0.000 (multiplicity 1)
O  0.184  0.296  0.818 (multiplicity 4)
O  0.265  0.500  0.267 (multiplicity 2)
O  0.312  0.000  0.313 (multiplicity 2)

17.
The following is a DFT calculation (PBE-GGA) of a relaxed SmDy2TeO8 crystal.

Results
DOS(E_F): 12.1 states/eV per cell
Formation energy without anion corrections: -2494 meV per atom
Energy: -7.221 eV per atom
Spin magnetization: 1.73 Bohr magnetons per cell
Crystal system: orthorhombic

Unit cell a=7.085 b=7.162 c=6.977 alpha=90.00 beta=90.00 gamma=90.00
Space group Cmmm (No. 65)
Symmetry-distinct sites (fractional):
Sm  0.000  0.000  0.000 (multiplicity 2)
Dy  0.000  0.500  0.257 (multiplicity 4)
Te  0.000  0.000  0.500 (multiplicity 2)
O  0.000  0.184  0.292 (multiplicity 8)
O  0.184  0.500  0.000 (multiplicity 4)
O  0.224  0.500  0.500 (multiplicity 4)

18.
The following is a DFT calculation (PBE-GGA) of a relaxed SmDyTeO2 crystal.

Results
DOS(E_F): 0.0 states/eV per cell
Formation energy without anion corrections: -2946 meV per atom
Energy: -7.422 eV per atom
Spin magnetization: 0.00 Bohr magnetons per cell
Crystal system: monoclinic

Unit cell a=6.882 b=4.120 c=7.859 alpha=90.00 beta=106.83 gamma=90.00
Space group P2_1/m (No. 11)
Symmetry-distinct sites (fractional):
Sm  0.174  0.250  0.424 (multiplicity 2)
Dy  0.159  0.250  0.912 (multiplicity 2)
Te  0.451  0.750  0.746 (multiplicity 2)
O  0.008  0.750  0.882 (multiplicity 2)
O  0.018  0.750  0.374 (multiplicity 2)